VASP calculation (PBE) on a geometry-optimized Pm2ErHg3 structure.

Lattice parameters (Å, degrees): 3.756 3.756 11.422 90.00 90.00 90.00
Fractional positions:
Pm  0.000  0.000  0.171
Pm  0.000  0.000  0.829
Er  0.000  0.000  0.500
Hg  0.500  0.500  0.000
Hg  0.500  0.500  0.346
Hg  0.500  0.500  0.654

Results
SG: P4/mmm, No. 123



VASP calculation (PBE) on a geometry-optimized Pm3ErHg2 structure.

Lattice parameters (Å, degrees): 9.060 9.060 9.060 132.89 70.68 130.56
Fractional positions:
Pm  0.023  0.750  0.273
Pm  0.250  0.250  0.000
Pm  0.477  0.750  0.727
Pm  0.523  0.250  0.273
Pm  0.750  0.750  0.000
Pm  0.977  0.250  0.727
Er  0.000  0.500  0.500
Er  0.500  0.000  0.500
Hg  0.137  0.203  0.340
Hg  0.363  0.703  0.066
Hg  0.637  0.297  0.934
Hg  0.863  0.797  0.660

Results
SG: Ibam, No. 72
Relative energy among the computed polymorphs (meV/atom): 258



VASP calculation (PBE) on a geometry-optimized Pm2Er3Hg4 structure.

Lattice parameters (Å, degrees): 9.555 9.555 8.132 90.00 90.00 137.26
Fractional positions:
Pm  0.096  0.904  0.909
Pm  0.404  0.596  0.409
Pm  0.596  0.404  0.591
Pm  0.904  0.096  0.091
Er  0.000  0.000  0.500
Er  0.011  0.489  0.750
Er  0.489  0.011  0.250
Er  0.500  0.500  0.000
Er  0.511  0.989  0.750
Er  0.989  0.511  0.250
Hg  0.168  0.832  0.529
Hg  0.184  0.316  0.750
Hg  0.316  0.184  0.250
Hg  0.332  0.668  0.029
Hg  0.668  0.332  0.971
Hg  0.684  0.816  0.750
Hg  0.816  0.684  0.250
Hg  0.832  0.168  0.471

Results
SG: Cmce, No. 64



VASP calculation (PBE) on a geometry-optimized PmEr3Hg structure.

Lattice parameters (Å, degrees): 6.697 6.697 7.933 108.75 108.75 66.32
Fractional positions:
Pm  0.052  0.052  0.236
Pm  0.948  0.948  0.764
Er  0.090  0.586  0.359
Er  0.414  0.910  0.641
Er  0.441  0.441  0.756
Er  0.559  0.559  0.244
Er  0.586  0.090  0.359
Er  0.910  0.414  0.641
Hg  0.262  0.262  0.999
Hg  0.738  0.738  0.001

Results
SG: C2/m, No. 12



Formation energy from the elements readings, ordered: -473; -77; -353; -108 meV per atom
Total moment readings, ordered: 0.96; 0.00; 0.00; 0.00 μB per formula unit